(1)
The following is a DFT calculation (PBE-GGA) of a relaxed structure of La4CuRuI2.

Unit cell a=7.366 b=4.281 c=8.624 alpha=90.00 beta=106.58 gamma=90.00
Space group P2/m (No. 10)
Inequivalent atoms, fractional coordinates:
La  0.221  0.000  0.188 (multiplicity 2)
La  0.254  0.500  0.813 (multiplicity 2)
Cu  0.500  0.000  0.000 (multiplicity 1)
Ru  0.000  0.500  0.000 (multiplicity 1)
I  0.000  0.000  0.500 (multiplicity 1)
I  0.500  0.500  0.500 (multiplicity 1)

Calculated values
As for the energy relative to the elements, uncorrected: -0.7210 eV per atom. The density of states at the Fermi level comes out at 4.77 states/eV/f.u. For the volume, the calculation gives 32.58 Å³ per atom. The electronic total energy is -5.24 eV/atom.

=====

(2)
The following is a DFT calculation (PBE-GGA) of a relaxed structure of CaTb2TlO.

Unit cell a=4.817 b=4.817 c=4.846 alpha=90.00 beta=90.00 gamma=90.00
Space group P4/mmm (No. 123)
Inequivalent atoms, fractional coordinates:
Ca  0.000  0.000  0.000 (multiplicity 1)
Tb  0.000  0.500  0.500 (multiplicity 2)
Tl  0.500  0.500  0.000 (multiplicity 1)
O  0.000  0.000  0.500 (multiplicity 1)

Calculated values
As for the energy relative to the elements, uncorrected: -1.3673 eV per atom. The density of states at the Fermi level comes out at 1.78 states/eV/f.u. For the volume, the calculation gives 22.49 Å³ per atom. The electronic total energy is -5.08 eV/atom.

=====

(3)
The following is a DFT calculation (PBE-GGA) of a relaxed structure of SiBiTeN2.

Unit cell a=4.298 b=4.298 c=6.459 alpha=90.00 beta=90.00 gamma=90.00
Space group P4/mmm (No. 123)
Inequivalent atoms, fractional coordinates:
Si  0.000  0.000  0.000 (multiplicity 1)
Bi  0.500  0.500  0.500 (multiplicity 1)
Te  0.500  0.500  0.000 (multiplicity 1)
N  0.000  0.500  0.500 (multiplicity 2)

Calculated values
As for the energy relative to the elements, uncorrected: 1.7149 eV per atom. The density of states at the Fermi level comes out at 3.40 states/eV/f.u. For the volume, the calculation gives 23.86 Å³ per atom. The value obtained for the energy above the most stable polymorph in this dataset is 0.638 eV per atom. The electronic total energy is -4.10 eV/atom.

=====

(4)
The following is a DFT calculation (PBE-GGA) of a relaxed structure of CaCe2Cu9.

Unit cell a=5.1600 b=5.1600 c=25.3407 alpha=90.00 beta=90.00 gamma=120.00
Space group R-3m (No. 166, hexagonal axes)
Inequivalent atoms, fractional coordinates:
Ca  0.0000  0.0000  0.0000 (multiplicity 3)
Ce  0.0000  0.0000  0.1455 (multiplicity 6)
Cu  0.0000  0.0000  0.3320 (multiplicity 6)
Cu  0.0000  0.0000  0.5000 (multiplicity 3)
Cu  0.0035  0.5017  0.0805 (multiplicity 18)

Calculated values
For the formation energy from the elements, the calculation gives -108 meV/atom. The density of states at the Fermi level comes out at 13.63 states/eV/f.u. For the volume, the calculation gives 16.23 Å³ per atom. The electronic total energy is -4.34 eV/atom.

=====

(5)
The following is a DFT calculation (PBE-GGA) of a relaxed structure of CaLa2BW.

Unit cell a=5.517 b=5.517 c=4.326 alpha=90.00 beta=90.00 gamma=90.00
Space group P4/mmm (No. 123)
Inequivalent atoms, fractional coordinates:
Ca  0.000  0.000  0.000 (multiplicity 1)
La  0.000  0.500  0.500 (multiplicity 2)
B  0.500  0.500  0.500 (multiplicity 1)
W  0.500  0.500  0.000 (multiplicity 1)

Calculated values
For the formation energy from the elements, the calculation gives 358 meV/atom. The density of states at the Fermi level comes out at 7.39 states/eV/f.u. For the volume, the calculation gives 26.34 Å³ per atom. The electronic total energy is -5.94 eV/atom.

=====

(6)
The following is a DFT calculation (PBE-GGA) of a relaxed structure of MgScP2.

Unit cell a=6.606 b=3.802 c=6.451 alpha=90.00 beta=109.73 gamma=90.00
Space group C2/m (No. 12)
Inequivalent atoms, fractional coordinates:
Mg  0.000  0.000  0.000 (multiplicity 2)
Sc  0.000  0.500  0.500 (multiplicity 2)
P  0.247  0.000  0.743 (multiplicity 4)

Calculated values
For the formation energy from the elements, the calculation gives -819 meV/atom. The density of states at the Fermi level comes out at 2.88 states/eV/f.u. For the volume, the calculation gives 19.07 Å³ per atom. The electronic total energy is -5.51 eV/atom.